1.
The following is a DFT calculation (GGA-PBEsol) of an optimized crystal structure of Mg2FeHg.

Calculated values
M_tot (μB per formula unit): 2.47
Space-group type: No. 99
D(E_F) (states/eV per cell): 3.7
Calculated total energy (eV/atom): -3.067

abc: 3.3631 3.3631 6.2703
angles: 90.00 90.00 90.00
Positions (direct):
Mg: 0.0000 0.0000 0.0000
Mg: 0.5000 0.5000 0.2947
Fe: 0.0000 0.0000 0.5110
Hg: 0.5000 0.5000 0.7449

=====

2.
The following is a DFT calculation (GGA-PBEsol) of an optimized crystal structure of RbTe2N2.

Calculated values
M_tot (μB per formula unit): 2.76
Space-group type: No. 123
D(E_F) (states/eV per cell): 3.0
Calculated total energy (eV/atom): -3.854

abc: 4.5352 4.5352 5.9804
angles: 90.00 90.00 90.00
Positions (direct):
Rb: 0.0000 0.0000 0.0000
Te: 0.0000 0.5000 0.5000
Te: 0.5000 0.0000 0.5000
N: 0.5000 0.5000 0.0000
N: 0.5000 0.5000 0.5000

=====

3.
The following is a DFT calculation (GGA-PBEsol) of an optimized crystal structure of NbCrFeCo2.

Calculated values
M_tot (μB per formula unit): 6.83
Space-group type: No. 123
D(E_F) (states/eV per cell): 6.5
Calculated total energy (eV/atom): -7.291

abc: 4.3529 4.3529 4.4578
angles: 90.00 90.00 90.00
Positions (direct):
Nb: 0.0000 0.0000 0.0000
Cr: 0.0000 0.0000 0.5000
Fe: 0.5000 0.5000 0.5000
Co: 0.0000 0.5000 0.0000
Co: 0.5000 0.0000 0.0000

=====

4.
The following is a DFT calculation (GGA-PBEsol) of an optimized crystal structure of ScNi2Mo.

Calculated values
M_tot (μB per formula unit): 0.00
Distance to the lowest polymorph of the same formula (eV per atom): 0.0471
Space-group type: No. 119
D(E_F) (states/eV per cell): 6.1
Calculated total energy (eV/atom): -7.630

abc: 4.8255 4.8255 4.8255
angles: 135.30 135.30 65.06
Positions (direct):
Sc: 0.0000 0.0000 0.0000
Ni: 0.2500 0.7500 0.5000
Ni: 0.5000 0.5000 0.0000
Mo: 0.7500 0.2500 0.5000

=====

5.
The following is a DFT calculation (GGA-PBEsol) of an optimized crystal structure of Mo2CSe.

Calculated values
M_tot (μB per formula unit): 1.72
Space-group type: No. 122
D(E_F) (states/eV per cell): 9.6
Calculated total energy (eV/atom): -8.763

abc: 6.0677 6.0677 6.0677
angles: 128.67 128.67 75.55
Positions (direct):
Mo: 0.0474 0.6250 0.9224
Mo: 0.3750 0.2974 0.4224
Mo: 0.7026 0.1250 0.0776
Mo: 0.8750 0.9526 0.5776
C: 0.0000 0.0000 0.0000
C: 0.7500 0.2500 0.5000
Se: 0.2500 0.7500 0.5000
Se: 0.5000 0.5000 0.0000

=====

6.
The following is a DFT calculation (GGA-PBEsol) of an optimized crystal structure of SrSc2Ag.

Calculated values
M_tot (μB per formula unit): 0.00
Distance to the lowest polymorph of the same formula (eV per atom): 0.2235
Space-group type: No. 216
D(E_F) (states/eV per cell): 5.6
Calculated total energy (eV/atom): -4.325

abc: 5.2279 5.2279 5.2279
angles: 60.00 60.00 60.00
Positions (direct):
Sr: 0.0000 0.0000 0.0000
Sc: 0.2500 0.2500 0.2500
Sc: 0.5000 0.5000 0.5000
Ag: 0.7500 0.7500 0.7500

=====

7.
The following is a DFT calculation (GGA-PBEsol) of an optimized crystal structure of ScCr3Rh.

Calculated values
M_tot (μB per formula unit): 8.37
Space-group type: No. 221
D(E_F) (states/eV per cell): 7.2
Calculated total energy (eV/atom): -7.918

abc: 4.5699 4.5699 4.5699
angles: 90.00 90.00 90.00
Positions (direct):
Sc: 0.0000 0.0000 0.0000
Cr: 0.0000 0.5000 0.5000
Cr: 0.5000 0.0000 0.5000
Cr: 0.5000 0.5000 0.0000
Rh: 0.5000 0.5000 0.5000

=====

8.
The following is a DFT calculation (GGA-PBEsol) of an optimized crystal structure of CaCS3.

Calculated values
M_tot (μB per formula unit): 2.02
Space-group type: No. 221
D(E_F) (states/eV per cell): 2.2
Calculated total energy (eV/atom): -3.255

abc: 5.2616 5.2616 5.2616
angles: 90.00 90.00 90.00
Positions (direct):
Ca: 0.0000 0.0000 0.0000
C: 0.5000 0.5000 0.5000
S: 0.0000 0.0000 0.5000
S: 0.0000 0.5000 0.0000
S: 0.5000 0.0000 0.0000

=====

9.
The following is a DFT calculation (GGA-PBEsol) of an optimized crystal structure of ScCdPb2.

Calculated values
M_tot (μB per formula unit): 0.00
Space-group type: No. 139
D(E_F) (states/eV per cell): 2.1
Calculated total energy (eV/atom): -4.116

abc: 5.7089 5.7089 5.7089
angles: 133.18 133.18 68.38
Positions (direct):
Sc: 0.0000 0.0000 0.0000
Cd: 0.5000 0.5000 0.0000
Pb: 0.2500 0.7500 0.5000
Pb: 0.7500 0.2500 0.5000

=====

10.
The following is a DFT calculation (GGA-PBEsol) of an optimized crystal structure of CrNi2Os.

Calculated values
M_tot (μB per formula unit): 0.89
Distance to the lowest polymorph of the same formula (eV per atom): 0.0290
Space-group type: No. 123
D(E_F) (states/eV per cell): 4.8
Calculated total energy (eV/atom): -8.639

abc: 3.5212 3.5212 3.7132
angles: 90.00 90.00 90.00
Positions (direct):
Cr: 0.0000 0.0000 0.0000
Ni: 0.0000 0.5000 0.5000
Ni: 0.5000 0.0000 0.5000
Os: 0.5000 0.5000 0.0000

=====

11.
The following is a DFT calculation (GGA-PBEsol) of an optimized crystal structure of MgTa2Be.

Calculated values
M_tot (μB per formula unit): 0.00
Distance to the lowest polymorph of the same formula (eV per atom): 0.2513
Space-group type: No. 216
D(E_F) (states/eV per cell): 5.0
Calculated total energy (eV/atom): -7.103

abc: 4.5060 4.5060 4.5060
angles: 60.00 60.00 60.00
Positions (direct):
Mg: 0.0000 0.0000 0.0000
Ta: 0.2500 0.2500 0.2500
Ta: 0.5000 0.5000 0.5000
Be: 0.7500 0.7500 0.7500

=====

12.
The following is a DFT calculation (GGA-PBEsol) of an optimized crystal structure of BeReP.

Calculated values
M_tot (μB per formula unit): 0.00
Distance to the lowest polymorph of the same formula (eV per atom): 0.7557
Space-group type: No. 216
D(E_F) (states/eV per cell): 1.2
Calculated total energy (eV/atom): -7.419

abc: 3.8628 3.8628 3.8628
angles: 60.00 60.00 60.00
Positions (direct):
Be: 0.0000 0.0000 0.0000
Re: 0.7500 0.7500 0.7500
P: 0.5000 0.5000 0.5000

=====

13.
The following is a DFT calculation (GGA-PBEsol) of an optimized crystal structure of ZrAu4.

Calculated values
M_tot (μB per formula unit): 0.00
Space-group type: No. 62
D(E_F) (states/eV per cell): 6.4
Calculated total energy (eV/atom): -5.429

abc: 5.0218 4.8632 14.3407
angles: 90.00 90.00 90.00
Positions (direct):
Zr: 0.1572 0.2500 0.0979
Zr: 0.3428 0.7500 0.5979
Zr: 0.6572 0.2500 0.4021
Zr: 0.8428 0.7500 0.9021
Au: 0.1578 0.2500 0.2989
Au: 0.1622 0.2500 0.5003
Au: 0.1625 0.2500 0.8983
Au: 0.1758 0.2500 0.6972
Au: 0.3242 0.7500 0.1972
Au: 0.3375 0.7500 0.3983
Au: 0.3378 0.7500 0.0003
Au: 0.3422 0.7500 0.7989
Au: 0.6578 0.2500 0.2011
Au: 0.6622 0.2500 0.9997
Au: 0.6625 0.2500 0.6017
Au: 0.6758 0.2500 0.8028
Au: 0.8242 0.7500 0.3028
Au: 0.8375 0.7500 0.1017
Au: 0.8378 0.7500 0.4997
Au: 0.8422 0.7500 0.7011

=====

14.
The following is a DFT calculation (GGA-PBEsol) of an optimized crystal structure of LuRh3C.

Calculated values
M_tot (μB per formula unit): 0.00
Space-group type: No. 221
D(E_F) (states/eV per cell): 0.9
Calculated total energy (eV/atom): -8.386

abc: 4.0872 4.0872 4.0872
angles: 90.00 90.00 90.00
Positions (direct):
Lu: 0.0000 0.0000 0.0000
Rh: 0.0000 0.5000 0.5000
Rh: 0.5000 0.0000 0.5000
Rh: 0.5000 0.5000 0.0000
C: 0.5000 0.5000 0.5000

=====

15.
The following is a DFT calculation (GGA-PBEsol) of an optimized crystal structure of SrCd2Rh2.

Calculated values
M_tot (μB per formula unit): 0.00
Distance to the lowest polymorph of the same formula (eV per atom): 0.1336
Space-group type: No. 139
D(E_F) (states/eV per cell): 3.0
Calculated total energy (eV/atom): -4.093

abc: 5.9772 5.9772 5.9772
angles: 133.73 133.73 67.51
Positions (direct):
Sr: 0.0000 0.0000 0.0000
Cd: 0.3648 0.3648 0.0000
Cd: 0.6352 0.6352 0.0000
Rh: 0.2500 0.7500 0.5000
Rh: 0.7500 0.2500 0.5000

=====

16.
The following is a DFT calculation (GGA-PBEsol) of an optimized crystal structure of ZrZnOs3.

Calculated values
M_tot (μB per formula unit): 0.00
Space-group type: No. 221
D(E_F) (states/eV per cell): 7.1
Calculated total energy (eV/atom): -8.123

abc: 4.4240 4.4240 4.4240
angles: 90.00 90.00 90.00
Positions (direct):
Zr: 0.0000 0.0000 0.0000
Zn: 0.5000 0.5000 0.5000
Os: 0.0000 0.5000 0.5000
Os: 0.5000 0.0000 0.5000
Os: 0.5000 0.5000 0.0000

=====

17.
The following is a DFT calculation (GGA-PBEsol) of an optimized crystal structure of KZr4Re.

Calculated values
M_tot (μB per formula unit): 0.00
Space-group type: No. 216
D(E_F) (states/eV per cell): 11.5
Calculated total energy (eV/atom): -7.352

abc: 5.7068 5.7068 5.7068
angles: 60.00 60.00 60.00
Positions (direct):
K: 0.0000 0.0000 0.0000
Zr: 0.1351 0.6216 0.6216
Zr: 0.6216 0.1351 0.6216
Zr: 0.6216 0.6216 0.1351
Zr: 0.6216 0.6216 0.6216
Re: 0.2500 0.2500 0.2500

=====

18.
The following is a DFT calculation (GGA-PBEsol) of an optimized crystal structure of Re3GeMo.

Calculated values
M_tot (μB per formula unit): 2.11
Space-group type: No. 221
D(E_F) (states/eV per cell): 5.1
Calculated total energy (eV/atom): -8.977

abc: 4.6653 4.6653 4.6653
angles: 90.00 90.00 90.00
Positions (direct):
Re: 0.0000 0.0000 0.5000
Re: 0.0000 0.5000 0.0000
Re: 0.5000 0.0000 0.0000
Ge: 0.5000 0.5000 0.5000
Mo: 0.0000 0.0000 0.0000

=====

19.
The following is a DFT calculation (GGA-PBEsol) of an optimized crystal structure of Zr2IO2.

Calculated values
M_tot (μB per formula unit): 0.00
Space-group type: No. 139
D(E_F) (states/eV per cell): 2.2
Calculated total energy (eV/atom): -8.158

abc: 5.8591 5.8591 5.8591
angles: 140.67 140.67 56.83
Positions (direct):
Zr: 0.1563 0.1563 0.0000
Zr: 0.8437 0.8437 0.0000
I: 0.5000 0.5000 0.0000
O: 0.2500 0.7500 0.5000
O: 0.7500 0.2500 0.5000

=====

20.
The following is a DFT calculation (GGA-PBEsol) of an optimized crystal structure of CaCo3S.

Calculated values
M_tot (μB per formula unit): 3.04
Space-group type: No. 221
D(E_F) (states/eV per cell): 3.5
Calculated total energy (eV/atom): -6.035

abc: 4.1698 4.1698 4.1698
angles: 90.00 90.00 90.00
Positions (direct):
Ca: 0.0000 0.0000 0.0000
Co: 0.0000 0.5000 0.5000
Co: 0.5000 0.0000 0.5000
Co: 0.5000 0.5000 0.0000
S: 0.5000 0.5000 0.5000